# SiH2Ru GGA-PBE optimized geometry
# Total magnetic moment: 0.00 μB per formula unit
# Volume: 33.9 Å³/f.u.
# E above lowest polymorph: 37.28 kJ/mol of atoms
data_SiH2Ru
_cell_length_a 5.136
_cell_length_b 5.136
_cell_length_c 5.136
_cell_angle_alpha 90.00
_cell_angle_beta 90.00
_cell_angle_gamma 90.00
_space_group_name_H-M_alt 'F m -3 m'
_space_group_IT_number 225
_space_group_name_Hall '-F 4 2 3'
loop_
_atom_site_label
_atom_site_fract_x
_atom_site_fract_y
_atom_site_fract_z
Si1 0.000 0.000 0.000
H1 0.250 0.250 0.250
Ru1 0.000 0.000 0.500

# SiHRu2 GGA-PBE optimized geometry
# Total magnetic moment: 0.00 μB per formula unit
# Volume: 45.3 Å³/f.u.
# E above lowest polymorph: 22.44 kJ/mol of atoms
data_SiHRu2
_cell_length_a 5.658
_cell_length_b 5.658
_cell_length_c 5.658
_cell_angle_alpha 90.00
_cell_angle_beta 90.00
_cell_angle_gamma 90.00
_space_group_name_H-M_alt 'F m -3 m'
_space_group_IT_number 225
_space_group_name_Hall '-F 4 2 3'
loop_
_atom_site_label
_atom_site_fract_x
_atom_site_fract_y
_atom_site_fract_z
Si1 0.000 0.000 0.000
H1 0.000 0.000 0.500
Ru1 0.250 0.250 0.250

# SiH3Ru GGA-PBE optimized geometry
# Total magnetic moment: 1.22 μB per formula unit
# Volume: 39.2 Å³/f.u.
# E above lowest polymorph: 47.30 kJ/mol of atoms
data_SiH3Ru
_cell_length_a 3.398
_cell_length_b 3.398
_cell_length_c 3.398
_cell_angle_alpha 90.00
_cell_angle_beta 90.00
_cell_angle_gamma 90.00
_space_group_name_H-M_alt 'P m -3 m'
_space_group_IT_number 221
_space_group_name_Hall '-P 4 2 3'
loop_
_atom_site_label
_atom_site_fract_x
_atom_site_fract_y
_atom_site_fract_z
Si1 0.000 0.000 0.000
H1 0.000 0.000 0.500
Ru1 0.500 0.500 0.500

# SiHRu GGA-PBE optimized geometry
# Total magnetic moment: 0.00 μB per formula unit
# E: -148.42 eV for the cell shown
# Volume: 31.8 Å³/f.u.
data_SiHRu
_cell_length_a 3.090
_cell_length_b 3.090
_cell_length_c 26.625
_cell_angle_alpha 90.00
_cell_angle_beta 90.00
_cell_angle_gamma 90.00
_space_group_name_H-M_alt 'P 41 2 2'
_space_group_IT_number 91
_space_group_name_Hall 'P 4w 2c'
loop_
_atom_site_label
_atom_site_fract_x
_atom_site_fract_y
_atom_site_fract_z
Si1 0.000 0.498 0.046
H1 0.002 0.498 0.224
Ru1 0.002 0.499 0.164